No. 1
Computed, not measured: crystalline ScNbSe3 at its relaxed geometry at the GGA-PBEsol level of DFT.

The structure belongs to space group Pm-3m (No. 221); the cell edges are 4.9635, 4.9635 and 4.9635 Å and the angles 90.00°, 90.00° and 90.00°. The distinct sites, in fractional coordinates, are Sc at (0.0000, 0.0000, 0.0000), Nb at (0.5000, 0.5000, 0.5000) and Se at (0.0000, 0.5000, 0.5000).

As for the raw formation energy: -0.35 eV per atom. As for the energy above the most stable polymorph in this dataset: 0 meV/atom.

No. 2
Computed, not measured: crystalline Zn2AgCl at its relaxed geometry at the GGA-PBEsol level of DFT.

The structure belongs to space group Pm (No. 6); the cell edges are 3.0622, 3.0188 and 7.4746 Å and the angles 90.00°, 90.13° and 90.00°. The distinct sites, in fractional coordinates, are Zn at (0.0000, 0.0000, 0.0000), Zn at (0.4990, 0.5000, 0.7860), Ag at (0.5012, 0.5000, 0.2237) and Cl at (0.4971, 0.0000, 0.5369).

As for the raw formation energy: -0.12 eV per atom. As for the energy above the most stable polymorph in this dataset: 0 meV/atom.

No. 3
Computed, not measured: crystalline OsRh3 at its relaxed geometry at the GGA-PBEsol level of DFT.

The structure belongs to space group Cmmm (No. 65); the cell edges are 5.3475, 7.6032 and 2.6684 Å and the angles 90.00°, 90.00° and 90.00°. The distinct sites, in fractional coordinates, are Os at (0.0000, 0.0000, 0.0000), Rh at (0.0000, 0.5000, 0.0000) and Rh at (0.2500, 0.2500, 0.5000).

The calculation puts the formation energy at 0.048 eV per atom.

No. 4
Computed, not measured: crystalline AgPd2Au at its relaxed geometry at the GGA-PBEsol level of DFT.

The structure belongs to space group R3m (No. 160, hexagonal axes); the cell edges are 2.7997, 2.7997 and 27.4866 Å and the angles 90.00°, 90.00° and 120.00°. The distinct sites, in fractional coordinates, are Ag at (0.0000, 0.0000, 0.0000), Pd at (0.0000, 0.0000, 0.2508), Pd at (0.0000, 0.0000, 0.5036) and Au at (0.0000, 0.0000, 0.7532).

The calculation puts the formation energy at -0.041 eV per atom.

No. 5
Computed, not measured: crystalline SiMoIr4 at its relaxed geometry at the GGA-PBEsol level of DFT.

The structure belongs to space group F-43m (No. 216); the cell edges are 7.1828, 7.1828 and 7.1828 Å and the angles 90.00°, 90.00° and 90.00°. The distinct sites, in fractional coordinates, are Si at (0.0000, 0.0000, 0.0000), Mo at (0.2500, 0.2500, 0.2500) and Ir at (0.1250, 0.1250, 0.6250).

As for the raw formation energy: 0.54 eV per atom.

No. 6
Computed, not measured: crystalline Cs5Hg19 at its relaxed geometry at the GGA-PBEsol level of DFT.

The structure belongs to space group I4/m (No. 87); the cell edges are 11.7089, 11.7089 and 10.7096 Å and the angles 90.00°, 90.00° and 90.00°. The distinct sites, in fractional coordinates, are Cs at (0.0000, 0.0000, 0.0000), Cs at (0.1190, 0.3263, 0.5000), Hg at (0.0000, 0.0000, 0.5000), Hg at (0.0000, 0.5000, 0.2500), Hg at (0.0784, 0.8285, 0.2829) and Hg at (0.1149, 0.2966, 0.1399).

The calculation puts the formation energy at -0.219 eV per atom.

No. 7
Computed, not measured: crystalline CdAuSN2 at its relaxed geometry at the GGA-PBEsol level of DFT.

The structure belongs to space group P4/mmm (No. 123); the cell edges are 4.0529, 4.0529 and 5.4519 Å and the angles 90.00°, 90.00° and 90.00°. The distinct sites, in fractional coordinates, are Cd at (0.0000, 0.0000, 0.0000), Au at (0.5000, 0.5000, 0.5000), S at (0.0000, 0.0000, 0.5000) and N at (0.0000, 0.5000, 0.0000).

As for the raw formation energy: 1.90 eV per atom. As for the energy above the most stable polymorph in this dataset: 483 meV/atom.

No. 8
Computed, not measured: crystalline Zn2SiIr at its relaxed geometry at the GGA-PBEsol level of DFT.

The structure belongs to space group Cmm2 (No. 35); the cell edges are 2.7951, 4.8166 and 8.5469 Å and the angles 90.00°, 90.00° and 90.00°. The distinct sites, in fractional coordinates, are Zn at (0.0000, 0.0000, 0.0000), Zn at (0.0000, 0.5000, 0.2564), Si at (0.0000, 0.5000, 0.7405) and Ir at (0.0000, 0.0000, 0.5142).

As for the raw formation energy: 0.04 eV per atom.

No. 9
Computed, not measured: crystalline Ca2NiIr at its relaxed geometry at the GGA-PBEsol level of DFT.

The structure belongs to space group P4mm (No. 99); the cell edges are 3.3227, 3.3227 and 8.0387 Å and the angles 90.00°, 90.00° and 90.00°. The distinct sites, in fractional coordinates, are Ca at (0.0000, 0.0000, 0.0000), Ca at (0.5000, 0.5000, 0.4167), Ni at (0.5000, 0.5000, 0.7557) and Ir at (0.0000, 0.0000, 0.6587).

The calculation puts the formation energy at 0.034 eV per atom.

No. 10
Computed, not measured: crystalline Ta2CoTc at its relaxed geometry at the GGA-PBEsol level of DFT.

The structure belongs to space group Imm2 (No. 44); the cell edges are 3.1741, 4.2672 and 8.8216 Å and the angles 90.00°, 90.00° and 90.00°. The distinct sites, in fractional coordinates, are Ta at (0.0000, 0.0000, 0.0000), Ta at (0.0000, 0.5000, 0.2420), Co at (0.0000, 0.0000, 0.5016) and Tc at (0.0000, 0.5000, 0.7386).

The calculation puts the formation energy at -0.093 eV per atom. As for the energy above the most stable polymorph in this dataset: 174 meV/atom.

No. 11
Computed, not measured: crystalline ReAg2Cl at its relaxed geometry at the GGA-PBEsol level of DFT.

The structure belongs to space group R3m (No. 160, hexagonal axes); the cell edges are 2.8812, 2.8812 and 27.2909 Å and the angles 90.00°, 90.00° and 120.00°. The distinct sites, in fractional coordinates, are Re at (0.0000, 0.0000, 0.0000), Ag at (0.0000, 0.0000, 0.4997), Ag at (0.0000, 0.0000, 0.7493) and Cl at (0.0000, 0.0000, 0.2671).

As for the raw formation energy: 0.35 eV per atom. As for the energy above the most stable polymorph in this dataset: 0 meV/atom.

No. 12
Computed, not measured: crystalline Be2NbRe2 at its relaxed geometry at the GGA-PBEsol level of DFT.

The structure belongs to space group P4/mbm (No. 127); the cell edges are 6.2498, 6.2498 and 3.1300 Å and the angles 90.00°, 90.00° and 90.00°. The distinct sites, in fractional coordinates, are Be at (0.1169, 0.3831, 0.0000), Nb at (0.0000, 0.0000, 0.0000) and Re at (0.1736, 0.6736, 0.5000).

The calculation puts the formation energy at -0.215 eV per atom.

No. 13
Computed, not measured: crystalline HoB2C2 at its relaxed geometry at the GGA-PBEsol level of DFT.

The structure belongs to space group P4/mbm (No. 127); the cell edges are 5.3227, 5.3227 and 3.4624 Å and the angles 90.00°, 90.00° and 90.00°. The distinct sites, in fractional coordinates, are Ho at (0.0000, 0.0000, 0.0000), B at (0.1359, 0.3641, 0.5000) and C at (0.1626, 0.6626, 0.5000).

The calculation puts the formation energy at -0.503 eV per atom.

No. 14
Computed, not measured: crystalline BeHgAs2Se at its relaxed geometry at the GGA-PBEsol level of DFT.

The structure belongs to space group P4/mmm (No. 123); the cell edges are 4.4653, 4.4653 and 4.7591 Å and the angles 90.00°, 90.00° and 90.00°. The distinct sites, in fractional coordinates, are Be at (0.0000, 0.0000, 0.0000), Hg at (0.5000, 0.5000, 0.5000), As at (0.0000, 0.5000, 0.0000) and Se at (0.0000, 0.0000, 0.5000).

As for the raw formation energy: 0.46 eV per atom.

No. 15
Computed, not measured: crystalline HBr at its relaxed geometry at the GGA-PBEsol level of DFT.

The structure belongs to space group Cmc2_1 (No. 36); the cell edges are 6.2690, 5.1895 and 5.1622 Å and the angles 90.00°, 90.00° and 90.00°. The distinct sites, in fractional coordinates, are H at (0.0000, 0.0383, 0.0000) and Br at (0.0000, 0.2419, 0.7924).

As for the total energy: -2.820 eV per atom.

No. 16
Computed, not measured: crystalline Nb5SnSe8 at its relaxed geometry at the GGA-PBEsol level of DFT.

The structure belongs to space group C2/m (No. 12); the cell edges are 18.3852, 3.3880 and 9.2316 Å and the angles 90.00°, 102.89° and 90.00°. The distinct sites, in fractional coordinates, are Nb at (0.0000, 0.0000, 0.0000), Nb at (0.1412, 0.5000, 0.9998), Nb at (0.2121, 0.5000, 0.3682), Sn at (0.0000, 0.5000, 0.5000), Se at (0.0694, 0.5000, 0.2042), Se at (0.0839, 0.0000, 0.8031), Se at (0.1495, 0.0000, 0.5124) and Se at (0.2428, 0.0000, 0.1593).

As for the raw formation energy: -0.79 eV per atom.

No. 17
Computed, not measured: crystalline ReTeW at its relaxed geometry at the GGA-PBEsol level of DFT.

The structure belongs to space group F-43m (No. 216); the cell edges are 6.1363, 6.1363 and 6.1363 Å and the angles 90.00°, 90.00° and 90.00°. The distinct sites, in fractional coordinates, are Re at (0.0000, 0.0000, 0.0000), Te at (0.2500, 0.2500, 0.7500) and W at (0.2500, 0.2500, 0.2500).

As for the raw formation energy: 0.59 eV per atom. As for the energy above the most stable polymorph in this dataset: 0 meV/atom.

No. 18
Computed, not measured: crystalline YZn2Ru at its relaxed geometry at the GGA-PBEsol level of DFT.

The structure belongs to space group F-43m (No. 216); the cell edges are 6.4386, 6.4386 and 6.4386 Å and the angles 90.00°, 90.00° and 90.00°. The distinct sites, in fractional coordinates, are Y at (0.0000, 0.0000, 0.0000), Zn at (0.0000, 0.0000, 0.5000), Zn at (0.2500, 0.2500, 0.2500) and Ru at (0.2500, 0.2500, 0.7500).

The calculation puts the formation energy at -0.042 eV per atom.

No. 19
Computed, not measured: crystalline FeCuSi2 at its relaxed geometry at the GGA-PBEsol level of DFT.

The structure belongs to space group Pmm2 (No. 25); the cell edges are 2.6970, 4.2325 and 4.0057 Å and the angles 90.00°, 90.00° and 90.00°. The distinct sites, in fractional coordinates, are Fe at (0.0000, 0.0000, 0.0000), Cu at (0.5000, 0.5000, 0.2346), Si at (0.0000, 0.5000, 0.7403) and Si at (0.5000, 0.0000, 0.5150).

As for the raw formation energy: -0.19 eV per atom.

No. 20
Computed, not measured: crystalline YTeN2F at its relaxed geometry at the GGA-PBEsol level of DFT.

The structure belongs to space group P4/mmm (No. 123); the cell edges are 4.2482, 4.2482 and 4.1521 Å and the angles 90.00°, 90.00° and 90.00°. The distinct sites, in fractional coordinates, are Y at (0.0000, 0.0000, 0.0000), Te at (0.5000, 0.5000, 0.5000), N at (0.0000, 0.5000, 0.5000) and F at (0.5000, 0.5000, 0.0000).

As for the raw formation energy: -0.26 eV per atom.

No. 21
Computed, not measured: crystalline MnAsBr2O at its relaxed geometry at the GGA-PBEsol level of DFT.

The structure belongs to space group P4/mmm (No. 123); the cell edges are 4.8398, 4.8398 and 4.7195 Å and the angles 90.00°, 90.00° and 90.00°. The distinct sites, in fractional coordinates, are Mn at (0.0000, 0.0000, 0.0000), As at (0.0000, 0.0000, 0.5000), Br at (0.0000, 0.5000, 0.0000) and O at (0.5000, 0.5000, 0.5000).

As for the raw formation energy: 0.62 eV per atom.

No. 22
Computed, not measured: crystalline TcNi2Pt at its relaxed geometry at the GGA-PBEsol level of DFT.

The structure belongs to space group P4/mmm (No. 123); the cell edges are 2.6210, 2.6210 and 7.2349 Å and the angles 90.00°, 90.00° and 90.00°. The distinct sites, in fractional coordinates, are Tc at (0.0000, 0.0000, 0.0000), Ni at (0.5000, 0.5000, 0.2425) and Pt at (0.0000, 0.0000, 0.5000).

The calculation puts the formation energy at -0.070 eV per atom. As for the energy above the most stable polymorph in this dataset: 17 meV/atom.

No. 23
Computed, not measured: crystalline MgZnCo at its relaxed geometry at the GGA-PBEsol level of DFT.

The structure belongs to space group I4mm (No. 107); the cell edges are 2.9663, 2.9663 and 9.3856 Å and the angles 90.00°, 90.00° and 90.00°. The distinct sites, in fractional coordinates, are Mg at (0.0000, 0.0000, 0.0000), Zn at (0.0000, 0.0000, 0.7019) and Co at (0.0000, 0.0000, 0.3311).

The calculation puts the formation energy at 0.020 eV per atom.

No. 24
Computed, not measured: crystalline Sn3GeAs at its relaxed geometry at the GGA-PBEsol level of DFT.

The structure belongs to space group Pm-3m (No. 221); the cell edges are 5.2578, 5.2578 and 5.2578 Å and the angles 90.00°, 90.00° and 90.00°. The distinct sites, in fractional coordinates, are Sn at (0.0000, 0.0000, 0.5000), Ge at (0.5000, 0.5000, 0.5000) and As at (0.0000, 0.0000, 0.0000).

The calculation puts the formation energy at 0.643 eV per atom.

No. 25
Computed, not measured: crystalline Cr3O2F2 at its relaxed geometry at the GGA-PBEsol level of DFT.

The structure belongs to space group P2_1/c (No. 14); the cell edges are 5.8302, 6.3382 and 5.4453 Å and the angles 90.00°, 116.30° and 90.00°. The distinct sites, in fractional coordinates, are Cr at (0.0000, 0.0000, 0.0000), Cr at (0.4627, 0.1241, 0.7548), O at (0.3217, 0.1217, 0.0257) and F at (0.2413, 0.6210, 0.8671).

As for the raw formation energy: -1.53 eV per atom.

No. 26
Computed, not measured: crystalline LiHf2SiI at its relaxed geometry at the GGA-PBEsol level of DFT.

The structure belongs to space group P4/mmm (No. 123); the cell edges are 4.8319, 4.8319 and 4.2019 Å and the angles 90.00°, 90.00° and 90.00°. The distinct sites, in fractional coordinates, are Li at (0.0000, 0.0000, 0.0000), Hf at (0.0000, 0.5000, 0.0000), Si at (0.5000, 0.5000, 0.5000) and I at (0.0000, 0.0000, 0.5000).

As for the raw formation energy: 0.78 eV per atom.

No. 27
Computed, not measured: crystalline CaNbIr3 at its relaxed geometry at the GGA-PBEsol level of DFT.

The structure belongs to space group Pm-3m (No. 221); the cell edges are 4.7700, 4.7700 and 4.7700 Å and the angles 90.00°, 90.00° and 90.00°. The distinct sites, in fractional coordinates, are Ca at (0.0000, 0.0000, 0.0000), Nb at (0.5000, 0.5000, 0.5000) and Ir at (0.0000, 0.5000, 0.5000).

The calculation puts the formation energy at 0.834 eV per atom.